(1)
BaSr2Ga | GGA-PBE | optimized geometry

Values from the calculation:
space-group type: R-3m (166)
relative energy among the computed polymorphs: 0.097 eV per atom
E: -2.167 eV/atom

POSCAR file:
```
BaSr2Ga
1.0
2.152 1.242 11.770
-2.152 1.242 11.770
0.000 -2.485 11.770
Ba Sr Ga
1 2 1
Cartesian
0.000 0.000 0.000
0.000 0.000 8.021
0.000 0.000 27.289
0.000 0.000 17.655
```

(2)
BaSrGa3 | GGA-PBE | optimized geometry

Values from the calculation:
space-group type: Cmcm (63)
relative energy among the computed polymorphs: 0.000 eV per atom
E: -2.981 eV/atom

POSCAR file:
```
BaSrGa3
1.0
2.434 -14.191 0.000
2.434 14.191 0.000
0.000 0.000 4.398
Ba Sr Ga
2 2 6
Cartesian
2.434 8.559 3.299
2.434 -8.559 1.100
2.434 12.324 1.100
2.434 -12.324 3.299
2.434 4.494 3.299
2.434 3.148 1.100
2.434 0.635 1.100
2.434 -0.635 3.299
2.434 -3.148 3.299
2.434 -4.494 1.100
```

(3)
BaSr2Ga | GGA-PBE | optimized geometry

Values from the calculation:
space-group type: I-42d (122)
relative energy among the computed polymorphs: 0.580 eV per atom
E: -1.683 eV/atom

POSCAR file:
```
BaSr2Ga
1.0
-3.757 3.757 9.377
3.757 -3.757 9.377
3.757 3.757 -9.377
Ba Sr Ga
2 4 2
Cartesian
0.000 0.000 0.000
0.000 3.757 4.689
1.878 -0.020 7.033
3.737 1.878 2.344
1.878 3.777 -2.344
0.020 1.878 11.722
3.757 0.000 4.689
0.000 0.000 9.377
```

(4)
BaSr2Ga | GGA-PBE | optimized geometry

Values from the calculation:
space-group type: P4/mmm (123)
relative energy among the computed polymorphs: 0.015 eV per atom
E: -2.249 eV/atom

POSCAR file:
```
BaSr2Ga
1.0
4.036 0.000 0.000
0.000 4.036 0.000
0.000 0.000 10.662
Ba Sr Ga
1 2 1
Cartesian
0.000 0.000 0.000
2.018 2.018 3.493
2.018 2.018 7.170
0.000 0.000 5.331
```

Q: relative energy among the computed polymorphs of number 3 (BaSr2Ga)?
A: 0.580 eV per atom

What did the first record say?
BaSr2Ga | GGA-PBE | optimized geometry

Values from the calculation:
space-group type: R-3m (166)
relative energy among the computed polymorphs: 0.097 eV per atom
E: -2.167 eV/atom

POSCAR file:
```
BaSr2Ga
1.0
2.152 1.242 11.770
-2.152 1.242 11.770
0.000 -2.485 11.770
Ba Sr Ga
1 2 1
Cartesian
0.000 0.000 0.000
0.000 0.000 8.021
0.000 0.000 27.289
0.000 0.000 17.655
```